Entry 1:
An optimized crystal structure of YBe4Cl, computed with PBE.

Properties
Formation energy without anion corrections, meV/atom: 406
Crystal system: cubic

Structure (extended XYZ):
```
6
Lattice="0.000 3.596 3.596 3.596 0.000 3.596 3.596 3.596 0.000" Properties=species:S:1:pos:R:3 pbc="T T T"
Be 2.564 2.564 2.564
Be 4.627 4.627 2.564
Be 2.564 4.627 4.627
Be 4.627 2.564 4.627
Cl 5.393 5.393 5.393
Y 0.000 0.000 0.000
```

---

Entry 2:
An optimized crystal structure of Ti4Mn3Tc, computed with PBE.

Properties
Formation energy from the elements, eV per atom: -0.2926
Crystal system: tetragonal

Structure (extended XYZ):
```
8
Lattice="3.027 0.000 0.000 0.000 3.027 0.000 0.000 0.000 12.096" Properties=species:S:1:pos:R:3 pbc="T T T"
Ti 0.000 0.000 1.572
Ti 0.000 0.000 7.542
Ti 0.000 0.000 10.523
Ti 0.000 0.000 4.554
Tc 1.513 1.513 0.000
Mn 1.513 1.513 9.004
Mn 1.513 1.513 6.048
Mn 1.513 1.513 3.092
```

---

Entry 3:
An optimized crystal structure of Be2Te, computed with PBE.

Properties
Formation energy without anion corrections, meV/atom: 56
Offset from the most stable computed form, eV/atom: 0.035
Crystal system: monoclinic

Structure (extended XYZ):
```
6
Lattice="2.763 -2.889 0.707 3.402 0.650 2.117 -2.208 -2.700 7.780" Properties=species:S:1:pos:R:3 pbc="T T T"
Te 2.731 -4.403 9.814
Te 5.088 -3.341 6.082
Be -1.328 -2.088 5.843
Be 0.557 -2.087 4.986
Be 2.747 -3.479 7.488
Be 0.524 -2.942 7.150
```

---

Entry 4:
An optimized crystal structure of Cs2CaCl3F, computed with PBE.

Properties
Formation energy without anion corrections, meV/atom: -2479
Crystal system: orthorhombic

Structure (extended XYZ):
```
7
Lattice="4.510 0.000 0.000 0.000 5.560 0.000 -2.255 -2.780 9.038" Properties=species:S:1:pos:R:3 pbc="T T T"
Cs 0.000 0.000 6.357
Cs 2.255 2.780 2.681
Cl 0.000 2.780 0.000
Cl 2.255 2.780 6.220
Cl 0.000 0.000 2.818
Ca 0.000 0.000 0.000
F 2.255 0.000 0.000
```

---

Entry 5:
An optimized crystal structure of BaCoRe2, computed with PBE.

Properties
Offset from the most stable computed form, eV/atom: 0.719
Formation energy from the elements, eV per atom: 1.2160
Crystal system: orthorhombic

Structure (extended XYZ):
```
4
Lattice="-1.658 4.815 2.714 0.001 -0.800 5.715 3.034 0.336 -4.897" Properties=species:S:1:pos:R:3 pbc="T T T"
Co 1.190 0.560 2.072
Re -1.657 4.015 8.429
Re 0.174 3.819 1.520
Ba -0.817 1.980 4.156
```

---

Entry 6:
An optimized crystal structure of Ac4Mg2Ni, computed with PBE.

Properties
Formation energy from the elements, eV per atom: 0.0520
Crystal system: tetragonal

Structure (extended XYZ):
```
7
Lattice="5.564 0.000 0.000 0.000 5.564 0.000 -2.782 -2.782 8.738" Properties=species:S:1:pos:R:3 pbc="T T T"
Ni 0.000 0.000 0.000
Ac 0.000 0.000 3.053
Ac 2.782 2.782 5.685
Ac 2.782 0.000 0.000
Ac 0.000 2.782 0.000
Mg 0.000 0.000 6.469
Mg 2.782 2.782 2.269
```